(1)
First-principles (PBE) data for a geometry-optimized La2Pm4Dy3 structure, as listed in the Alexandria database.

abc: 10.1870 10.1870 8.7883
angles: 99.14 99.14 20.18
Atoms (fractional coordinates):
La 0.1665 0.1665 0.0407
La 0.8335 0.8335 0.9593
Pm 0.0488 0.0488 0.6843
Pm 0.2203 0.2203 0.6474
Pm 0.7797 0.7797 0.3526
Pm 0.9512 0.9512 0.3157
Dy 0.3946 0.3946 0.6374
Dy 0.5000 0.5000 0.0000
Dy 0.6054 0.6054 0.3626

Properties
* magnetic moment: 0.0 μB per cell
* energy relative to the elements: 0.076 eV per atom
* D(E_F): 1.58 states/eV/atom
* symmetry: No. 12
* energy relative to the lowest polymorph listed for this composition: 0.19 eV per formula unit
* uncorrected energy: -4.66 eV/atom
* calculated volume: 34.50 Å³ per atom

(2)
First-principles (PBE) data for a geometry-optimized Cs2Rb2InSb2 structure, as listed in the Alexandria database.

abc: 14.4591 4.5188 12.4768
angles: 90.00 102.93 90.00
Atoms (fractional coordinates):
Cs 0.1726 0.0000 0.3397
Cs 0.3274 0.5000 0.6603
Cs 0.6726 0.5000 0.3397
Cs 0.8274 0.0000 0.6603
Rb 0.1089 0.5000 0.8713
Rb 0.3911 0.0000 0.1287
Rb 0.6089 0.0000 0.8713
Rb 0.8911 0.5000 0.1287
In 0.0000 0.5000 0.5000
In 0.5000 0.0000 0.5000
Sb 0.1033 0.0000 0.6369
Sb 0.3967 0.5000 0.3631
Sb 0.6033 0.5000 0.6369
Sb 0.8967 0.0000 0.3631

Properties
* magnetic moment: 0.0 μB per cell
* D(E_F): 0.63 states/eV/atom
* symmetry: No. 12
* ΔE_f (raw): -216 meV/atom
* uncorrected energy: -2.31 eV/atom
* calculated volume: 56.75 Å³ per atom

(3)
First-principles (PBE) data for a geometry-optimized RbNaPu2Br8 structure, as listed in the Alexandria database.

abc: 7.1343 8.9750 7.3420
angles: 90.00 94.70 90.00
Atoms (fractional coordinates):
Rb 0.0000 0.0000 0.0000
Na 0.0000 0.5000 0.0000
Pu 0.5000 0.2559 0.5000
Pu 0.5000 0.7441 0.5000
Br 0.2665 0.2753 0.1711
Br 0.2665 0.7247 0.1711
Br 0.2786 0.5000 0.6364
Br 0.2835 0.0000 0.6222
Br 0.7165 0.0000 0.3778
Br 0.7214 0.5000 0.3636
Br 0.7335 0.2753 0.8289
Br 0.7335 0.7247 0.8289

Properties
* magnetic moment: 10.0 μB per cell
* D(E_F): 1.89 states/eV/atom
* symmetry: No. 10
* ΔE_f (raw): -1543 meV/atom
* uncorrected energy: -5.24 eV/atom
* calculated volume: 39.04 Å³ per atom